[1]
# ScTiH2, optimized geometry, DFT GGA-PBE
# Polymorph energy (0 for the lowest one) ... 0.05 kJ per mole of atoms
data_ScTiH2
_chemical_formula_sum 'Sc2 Ti2 H4'
_symmetry_space_group_name_H-M 'P 1'
_symmetry_Int_Tables_number 1
_symmetry_space_group_name_Hall 'P 1'
_cell_length_a 3.175
_cell_length_b 4.553
_cell_length_c 6.388
_cell_angle_alpha 90.00
_cell_angle_beta 90.01
_cell_angle_gamma 90.00
loop_
_atom_site_label
_atom_site_fract_x
_atom_site_fract_y
_atom_site_fract_z
Sc1 0.201 0.855 0.744
Sc2 0.701 0.355 0.472
Ti1 0.201 0.863 0.223
Ti2 0.701 0.363 0.993
H1 0.701 0.630 0.221
H2 0.701 0.585 0.744
H3 0.201 0.085 0.472
H4 0.201 0.130 0.995

***

[2]
# SrReS3, optimized geometry, DFT GGA-PBE
# Polymorph energy (0 for the lowest one) ... 194.16 kJ per mole of atoms
data_SrReS3
_chemical_formula_sum 'Sr1 Re1 S3'
_symmetry_space_group_name_H-M 'P 1'
_symmetry_Int_Tables_number 1
_symmetry_space_group_name_Hall 'P 1'
_cell_length_a 5.466
_cell_length_b 5.466
_cell_length_c 5.466
_cell_angle_alpha 90.00
_cell_angle_beta 90.00
_cell_angle_gamma 90.00
loop_
_atom_site_label
_atom_site_fract_x
_atom_site_fract_y
_atom_site_fract_z
Re1 0.500 0.500 0.500
S1 0.000 0.500 0.000
S2 0.000 0.000 0.500
S3 0.500 0.000 0.000
Sr1 0.000 0.000 0.000